# 1
## InSb2S3 (GGA-PBE)

Data for a relaxed InSb2S3 crystal.

Cell: 11.2773 11.1527 5.8445 Å, 90.00 90.00 90.00°
With the nearest neighbours (Å) after each atom.
Space group Cmcm (No. 63)
Asymmetric unit:
In 0.0000 0.1268 0.2500 x4  4 S 3.03-3.07
Sb 0.1749 0.3401 0.7500 x8  2 S 2.46-2.52
S 0.0000 0.1992 0.7500 x4  2 Sb 2.52
S 0.1852 0.3287 0.2500 x8  1 Sb 2.46

Results
V = 735.1 Å³/cell
Total DFT energy (no corrections) = -4.01 eV per atom
Formation energy from raw total energies = -0.7 eV/f.u.
N(E_F) = 6.6 states/eV/cell


# 2
## In2SbS (GGA-PBE)

Data for a relaxed In2SbS crystal.

Cell: 6.3879 6.3879 13.2564 Å, 90.00 90.00 90.00°
With the nearest neighbours (Å) after each atom.
Space group I-42d (No. 122)
Asymmetric unit:
In 0.2247 0.2500 0.1250 x8  2 S 2.71, 2 Sb 2.90
Sb 0.0000 0.0000 0.5000 x4  4 In 2.90
S 0.0000 0.0000 0.0000 x4  4 In 2.71

Results
V = 540.9 Å³/cell
Total DFT energy (no corrections) = -3.59 eV per atom
Formation energy from raw total energies = -0.6 eV/f.u.
N(E_F) = 7.9 states/eV/cell
Distance to the lowest polymorph of the same formula = 0.032 eV/atom


# 3
## InSbS2 (GGA-PBE)

Data for a relaxed InSbS2 crystal.

Cell: 7.2950 7.2950 7.2846 Å, 90.00 90.00 90.00°
With the nearest neighbours (Å) after each atom.
Space group I-42d (No. 122)
Asymmetric unit:
In 0.0000 0.0000 0.0000 x4  4 S 2.72
Sb 0.0000 0.0000 0.5000 x4  4 S 2.75
S 0.2467 0.7500 0.1250 x8  2 In 2.72, 2 Sb 2.75

Results
V = 387.7 Å³/cell
Total DFT energy (no corrections) = -3.89 eV per atom
Formation energy from raw total energies = -0.4 eV/f.u.
N(E_F) = 3.9 states/eV/cell


# 4
## In2SbS (GGA-PBE)

Data for a relaxed In2SbS crystal.

Cell: 4.1437 4.1437 20.8463 Å, 90.00 90.00 120.00°
With the nearest neighbours (Å) after each atom.
Space group R-3m (No. 166, hexagonal axes)
Asymmetric unit:
In 0.0000 0.0000 0.2447 x6  3 S 2.89, 3 Sb 3.02
Sb 0.0000 0.0000 0.0000 x3  6 In 3.02
S 0.0000 0.0000 0.5000 x3  6 In 2.89

Results
V = 310.0 Å³/cell
Total DFT energy (no corrections) = -3.59 eV per atom
Formation energy from raw total energies = -0.6 eV/f.u.
N(E_F) = 4.5 states/eV/cell
Distance to the lowest polymorph of the same formula = 0.029 eV/atom


# 5
## InSbS2 (GGA-PBE)

Data for a relaxed InSbS2 crystal.

Cell: 6.9764 6.9764 6.9764 Å, 90.00 90.00 90.00°
With the nearest neighbours (Å) after each atom.
Space group Fm-3m (No. 225)
Asymmetric unit:
In 0.0000 0.0000 0.0000 x4  8 S 3.02
Sb 0.0000 0.0000 0.5000 x4  8 S 3.02
S 0.2500 0.2500 0.2500 x8  4 In 3.02, 4 Sb 3.02

Results
V = 339.5 Å³/cell
Total DFT energy (no corrections) = -3.74 eV per atom
Formation energy from raw total energies = 0.2 eV/f.u.
N(E_F) = 11.2 states/eV/cell


# 6
## In6SbS8 (GGA-PBE)

Data for a relaxed In6SbS8 crystal.

Cell: 11.3803 11.3803 11.6601 Å, 90.00 90.00 120.00°
With the nearest neighbours (Å) after each atom.
Space group R-3 (No. 148, hexagonal axes)
Asymmetric unit:
In 0.0001 0.1925 0.3604 x18  5 S 2.55-2.82
Sb 0.0000 0.0000 0.0000 x3  2 S 2.66
S 0.0000 0.0000 0.2283 x6  1 Sb 2.66, 3 In 2.68
S 0.0096 0.2663 0.5822 x18  4 In 2.55-2.82

Results
V = 1307.8 Å³/cell
Total DFT energy (no corrections) = -3.79 eV per atom
Formation energy from raw total energies = -3.3 eV/f.u.
N(E_F) = 20.9 states/eV/cell


# 7
## In3SbS (GGA-PBE)

Data for a relaxed In3SbS crystal.

Cell: 5.7333 5.7333 5.7333 Å, 90.00 90.00 90.00°
With the nearest neighbours (Å) after each atom.
Space group Pm-3m (No. 221)
Asymmetric unit:
In 0.0000 0.0000 0.5000 x3  2 Sb 2.87
Sb 0.0000 0.0000 0.0000 x1  6 In 2.87
S 0.5000 0.5000 0.5000 x1  12 In 4.05

Results
V = 188.5 Å³/cell
Total DFT energy (no corrections) = -2.80 eV per atom
Formation energy from raw total energies = 2.5 eV/f.u.
N(E_F) = 1.4 states/eV/cell
Distance to the lowest polymorph of the same formula = 0.298 eV/atom


# 8
## In2SbS (GGA-PBE)

Data for a relaxed In2SbS crystal.

Cell: 7.3288 7.3288 7.3288 Å, 90.00 90.00 90.00°
With the nearest neighbours (Å) after each atom.
Space group Fm-3m (No. 225)
Asymmetric unit:
In 0.2500 0.2500 0.2500 x8  4 S 3.17, 4 Sb 3.17
Sb 0.0000 0.0000 0.0000 x4  8 In 3.17
S 0.0000 0.0000 0.5000 x4  8 In 3.17

Results
V = 393.6 Å³/cell
Total DFT energy (no corrections) = -3.36 eV per atom
Formation energy from raw total energies = 0.3 eV/f.u.
N(E_F) = 14.5 states/eV/cell
Distance to the lowest polymorph of the same formula = 0.256 eV/atom


# 9
## Sc2InSbS (GGA-PBE)

Data for a relaxed Sc2InSbS crystal.

Cell: 4.8317 4.8317 5.4194 Å, 90.00 90.00 90.00°
With the nearest neighbours (Å) after each atom.
Space group P4/mmm (No. 123)
Asymmetric unit:
Sc 0.0000 0.5000 0.0000 x2  2 S 2.42
In 0.0000 0.0000 0.5000 x1  4 Sb 3.42, 8 Sc 3.63
Sb 0.5000 0.5000 0.5000 x1  2 S 2.71
S 0.5000 0.5000 0.0000 x1  4 Sc 2.42

Results
V = 126.5 Å³/cell
Total DFT energy (no corrections) = -5.16 eV per atom
Formation energy from raw total energies = -2.2 eV/f.u.
N(E_F) = 3.6 states/eV/cell


# 10
## InSbSeS2 (GGA-PBE)

Data for a relaxed InSbSeS2 crystal.

Cell: 6.6700 5.3582 8.1761 Å, 90.00 91.81 90.00°
With the nearest neighbours (Å) after each atom.
Space group P2_1/m (No. 11)
Asymmetric unit:
In 0.1064 0.2500 0.3576 x2  4 S 2.47-2.70, 1 Se 2.60
Sb 0.2314 0.2500 0.9255 x2  3 S 2.59-2.81, 1 Se 2.67
Se 0.4446 0.2500 0.2079 x2  1 In 2.60, 1 Sb 2.67
S 0.0551 0.7500 0.3745 x2  3 In 2.47-2.70
S 0.1047 0.7500 0.9251 x2  3 Sb 2.59-2.81, 1 In 2.67

Results
V = 292.1 Å³/cell
Total DFT energy (no corrections) = -4.03 eV per atom
Formation energy from raw total energies = -1.6 eV/f.u.


# 11
## InSiSbS2 (GGA-PBE)

Data for a relaxed InSiSbS2 crystal.

Cell: 5.0528 5.0528 5.1279 Å, 90.00 90.00 90.00°
With the nearest neighbours (Å) after each atom.
Space group P4/mmm (No. 123)
Asymmetric unit:
In 0.0000 0.0000 0.0000 x1  4 S 2.53, 2 Si 2.56
Si 0.0000 0.0000 0.5000 x1  2 In 2.56
Sb 0.5000 0.5000 0.5000 x1  4 Si 3.57, 8 S 3.60
S 0.0000 0.5000 0.0000 x2  2 In 2.53

Results
V = 130.9 Å³/cell
Total DFT energy (no corrections) = -3.37 eV per atom
Formation energy from raw total energies = 3.7 eV/f.u.
N(E_F) = 5.1 states/eV/cell


# 12
## InSnSbS (GGA-PBE)

Data for a relaxed InSnSbS crystal.

Cell: 4.8303 4.8303 18.8132 Å, 90.00 90.00 120.00°
With the nearest neighbours (Å) after each atom.
Space group R3m (No. 160, hexagonal axes)
Asymmetric unit:
In 0.0000 0.0000 0.0000 x3  1 S 2.59
Sn 0.0000 0.0000 0.4675 x3  3 S 2.79, 1 Sb 2.96
Sb 0.0000 0.0000 0.6247 x3  3 In 2.90, 1 Sn 2.96
S 0.0000 0.0000 0.1375 x3  1 In 2.59, 3 Sn 2.79

Results
V = 380.2 Å³/cell
Total DFT energy (no corrections) = -3.95 eV per atom
Formation energy from raw total energies = -0.8 eV/f.u.
N(E_F) = 1.1 states/eV/cell


| no. | mass density (Mg/m³) |
| --- | --- |
| 1 | 4.11 |
| 2 | 4.71 |
| 3 | 5.15 |
| 4 | 6.16 |
| 5 | 5.88 |
| 6 | 4.07 |
| 7 | 4.39 |
| 8 | 6.47 |
| 9 | 4.71 |
| 10 | 4.32 |
| 11 | 4.17 |
| 12 | 5.07 |